This record from Alexandria via LeMat-Bulk describes a relaxed MoCF3 crystal. The functional is PBE+U.

a b c (Å): 4.224 4.224 4.224
angles (deg): 90.00 90.00 90.00
Each line ends with the local moment (μB).
Fractional coordinates of all 5 atoms:
Mo 0.000 0.000 0.000  -2.77
C 0.500 0.500 0.500  0.97
F 0.000 0.500 0.000  -0.02
F 0.000 0.000 0.500  0.03
F 0.500 0.000 0.000  -0.07

Summary:
D(E_F), states/eV/atom: 1.45
Total DFT energy (no corrections), eV per atom: -4.845
Distance to the lowest polymorph of the same formula, eV per atom: 0.000
Calculated volume, Å³/atom: 15.1